Entry 1:
Compound: Sc5Os3
Source: the Alexandria database
Functional: SCAN
Structure: single point on PBEsol structure

```
data_Sc5Os3
_symmetry_space_group_name_H-M 'P 1'
_symmetry_Int_Tables_number 1
_cell_length_a 7.727
_cell_length_b 7.727
_cell_length_c 5.680
_cell_angle_alpha 90.00
_cell_angle_beta 90.00
_cell_angle_gamma 120.00
loop_
_symmetry_equiv_pos_as_xyz
'x,y,z'
loop_
_atom_site_label
_atom_site_type_symbol
_atom_site_fract_x
_atom_site_fract_y
_atom_site_fract_z
_atom_site_occupancy
Sc1 Sc 0.000 0.259 0.250 1
Sc2 Sc 0.000 0.741 0.750 1
Sc3 Sc 0.259 0.000 0.250 1
Sc4 Sc 0.259 0.259 0.750 1
Sc5 Sc 0.333 0.667 0.000 1
Sc6 Sc 0.333 0.667 0.500 1
Sc7 Sc 0.667 0.333 0.000 1
Sc8 Sc 0.667 0.333 0.500 1
Sc9 Sc 0.741 0.000 0.750 1
Sc10 Sc 0.741 0.741 0.250 1
Os1 Os 0.000 0.396 0.750 1
Os2 Os 0.000 0.604 0.250 1
Os3 Os 0.396 0.000 0.750 1
Os4 Os 0.396 0.396 0.250 1
Os5 Os 0.604 0.000 0.250 1
Os6 Os 0.604 0.604 0.750 1
```

Summary:
- formation energy from the elements (eV per atom) = -0.44

=====

Entry 2:
Compound: Sc5Os
Source: the Alexandria database
Functional: SCAN
Structure: single point on PBEsol structure

```
data_Sc5Os
_symmetry_space_group_name_H-M 'P 1'
_symmetry_Int_Tables_number 1
_cell_length_a 5.772
_cell_length_b 5.772
_cell_length_c 7.554
_cell_angle_alpha 110.88
_cell_angle_beta 110.88
_cell_angle_gamma 33.00
loop_
_symmetry_equiv_pos_as_xyz
'x,y,z'
loop_
_atom_site_label
_atom_site_type_symbol
_atom_site_fract_x
_atom_site_fract_y
_atom_site_fract_z
_atom_site_occupancy
Sc1 Sc 0.000 0.000 0.000 1
Sc2 Sc 0.339 0.339 0.214 1
Sc3 Sc 0.362 0.362 0.636 1
Sc4 Sc 0.638 0.638 0.364 1
Sc5 Sc 0.661 0.661 0.786 1
Os1 Os 0.000 0.000 0.500 1
```

Summary:
- formation energy from the elements (eV per atom) = -0.25

=====

Q: The highest formation energy from the elements belongs to which entry?
A: Sc5Os

=====

Q: Look up the formation energy from the elements of the first one.
A: -0.44 eV per atom

=====

Q: What is the formation energy from the elements in the first record?
A: -0.44 eV per atom